Here is a relaxed structure of KGaPb from Alexandria. Energies are from GGA-PBE.

Values from the calculation:
ΔE_f = -0.0609 eV/atom
energy = -2.67 eV/atom
space group = C2/c, No. 15

Cell: 13.996 6.373 6.373 Å, 91.30 132.60 47.40°
Fractional positions:
Pb1 0.500 0.500 0.000
K1 0.750 0.623 0.123
Ga1 0.000 0.000 0.000
Ga2 0.500 0.500 0.500
Pb2 0.000 0.500 0.000
K2 0.250 0.377 0.877